Record 1
## Sm4YTl3 (PBE)

Data for a relaxed structure of Sm4YTl3.

Output
**ΔE to the lowest computed polymorph**: 0 meV/atom
**Space-group type**: No. 51

Unit cell a=5.9672 b=6.9431 c=11.3579 alpha=90.00 beta=90.00 gamma=90.00
Last column: nearest neighbours and their distance in Å.
Atoms (fractional coordinates):
Sm  0.5000  0.7516  0.5000  6 Tl 3.41-3.45, 4 Sm 3.45-3.62, 2 Y 3.46
Sm  0.1227  0.7579  0.7500  4 Sm 3.36-3.62, 6 Tl 3.38-3.57, 2 Y 3.44
Sm  0.1227  0.2421  0.7500  4 Sm 3.36-3.62, 6 Tl 3.38-3.57, 2 Y 3.44
Sm  0.5000  0.2484  0.5000  6 Tl 3.41-3.45, 4 Sm 3.45-3.62, 2 Y 3.46
Sm  0.8773  0.7579  0.2500  4 Sm 3.36-3.62, 6 Tl 3.38-3.57, 2 Y 3.44
Sm  0.5000  0.7516  0.0000  6 Tl 3.41-3.45, 4 Sm 3.45-3.62, 2 Y 3.46
Sm  0.8773  0.2421  0.2500  4 Sm 3.36-3.62, 6 Tl 3.38-3.57, 2 Y 3.44
Sm  0.5000  0.2484  0.0000  6 Tl 3.41-3.45, 4 Sm 3.45-3.62, 2 Y 3.46
Tl  0.0000  0.0000  0.0000  8 Sm 3.38-3.45, 2 Y 3.47, 2 Tl 3.59
Tl  0.6318  0.0000  0.7500  8 Sm 3.38-3.47, 4 Tl 3.47-3.59
Tl  0.0000  0.0000  0.5000  8 Sm 3.38-3.45, 2 Y 3.47, 2 Tl 3.59
Tl  0.6406  0.5000  0.7500  8 Sm 3.39-3.57, 2 Tl 3.47, 2 Y 3.56
Tl  0.3682  0.0000  0.2500  8 Sm 3.38-3.47, 4 Tl 3.47-3.59
Tl  0.3594  0.5000  0.2500  8 Sm 3.39-3.57, 2 Tl 3.47, 2 Y 3.56
Y  0.0000  0.5000  0.0000  8 Sm 3.44-3.46, 4 Tl 3.47-3.56
Y  0.0000  0.5000  0.5000  8 Sm 3.44-3.46, 4 Tl 3.47-3.56


Record 2
## Hf2Cu2Ir (PBE)

Data for a relaxed structure of Hf2Cu2Ir.

Output
**ΔE to the lowest computed polymorph**: 0 meV/atom
**Space-group type**: No. 12

Unit cell a=6.2154 b=4.1554 c=4.1628 alpha=59.94 beta=89.99 gamma=70.41
Last column: nearest neighbours and their distance in Å.
Atoms (fractional coordinates):
Cu  0.0233  0.3182  0.8409  3 Cu 2.41-2.42
Cu  0.9767  0.6818  0.1591  3 Cu 2.41-2.42
Hf  0.2810  0.8134  0.5934  3 Ir 2.71, 6 Cu 2.82-2.97
Hf  0.7190  0.1866  0.4066  3 Ir 2.71, 6 Cu 2.82-2.97
Ir  0.5000  0.0000  0.0000  6 Hf 2.71, 2 Cu 2.73


no.,energy of formation (meV/atom),theoretical density (g cm⁻³)
1,-219,9.2
2,-397,13.1